First-principles (GGA+U) data for a relaxed NiMoF2 crystal, as listed in the Alexandria database.

DFT total energy = -3.415 eV/atom
Symmetry = Fm-3m
Density of states at the Fermi level = 2.922 states/eV per atom

Lattice parameters (Å, degrees): 4.207 4.207 4.207 60.00 60.00 60.00
Element x y z (fractional)
1 Ni 0.000 0.000 0.000
2 Mo 0.500 0.500 0.500
3 F 0.250 0.250 0.250
4 F 0.750 0.750 0.750